CrGeSO | PBE with a Hubbard U | relaxed

Cell and atoms, written as CIF:
```
data_CrGeSO
_chemical_formula_sum 'Cr1 Ge1 S1 O1'
_cell_length_a 3.164
_cell_length_b 2.984
_cell_length_c 7.900
_cell_angle_alpha 90.00
_cell_angle_beta 101.31
_cell_angle_gamma 90.00
_space_group_name_H-M_alt 'P 1 m 1'
_space_group_IT_number 6
_space_group_name_Hall 'P -2y'
loop_
_atom_site_label
_atom_site_type_symbol
_atom_site_fract_x
_atom_site_fract_y
_atom_site_fract_z
_atom_site_occupancy
Cr1 Cr 0.000 0.000 0.000 1
Ge1 Ge 0.798 0.500 0.587 1
S1 S 0.576 0.500 0.156 1
O1 O 0.914 0.500 0.824 1
```

Properties
Uncorrected energy = -23.67 eV/f.u.
DOS(E_F) = 1.36 states/eV per cell
Total magnetic moment = 2.98 Bohr magnetons per cell
Offset from the most stable computed form = 0.224 eV/atom
ρ = 3.92 g cm⁻³